No. 1
A plane-wave DFT calculation with PBE was carried out for crystalline PmHo6Tm3 at its relaxed geometry.

- E above lowest polymorph: 11.9 kJ per mole of atoms
- Formation enthalpy at 0 K: 0.2743 eV per atom
- Crystal system: trigonal

a b c (Å): 9.7093 9.7093 6.8329
angles (deg): 44.73 44.73 60.00
Closest atoms and distances in Å follow each position.
Sites, in units of the cell vectors:
Pm  0.8980  0.8980  0.3059  2 Tm 2.90-3.03
Ho  0.9064  0.5658  0.2905  1 Pm 3.26, 2 Tm 3.35-3.37
Ho  0.2373  0.9064  0.2905  1 Pm 3.26, 2 Tm 3.35-3.37
Ho  0.5658  0.2373  0.2905  1 Pm 3.26, 2 Tm 3.35-3.37
Ho  0.0691  0.4073  0.7882  3 Tm 3.24-3.41
Ho  0.7354  0.0691  0.7882  3 Tm 3.24-3.41
Ho  0.4073  0.7354  0.7882  3 Tm 3.24-3.41
Tm  0.3953  0.3953  0.8141  2 Tm 2.87-2.93
Tm  0.6399  0.6399  0.0803  1 Tm 2.87, 1 Pm 3.03
Tm  0.1454  0.1454  0.5638  1 Pm 2.90, 1 Tm 2.93

No. 2
A plane-wave DFT calculation with PBE was carried out for crystalline Pm3Sm2In2 at its relaxed geometry.

- E above lowest polymorph: 0.0 kJ per mole of atoms
- Formation enthalpy at 0 K: -0.1722 eV per atom
- Crystal system: orthorhombic

a b c (Å): 4.8422 3.5443 12.5945
angles (deg): 90.00 78.92 90.00
Closest atoms and distances in Å follow each position.
Sites, in units of the cell vectors:
Pm  0.8622  0.0000  0.2755  3 Pm 3.41-3.54, 4 In 3.43, 4 Sm 3.51
Pm  0.0000  0.0000  0.0000  4 Pm 3.41-3.54, 8 In 3.47
Pm  0.1378  0.0000  0.7245  3 Pm 3.41-3.54, 4 In 3.43, 4 Sm 3.51
Sm  0.7112  0.5000  0.5776  2 Sm 3.09
Sm  0.2888  0.5000  0.4224  2 Sm 3.09
In  0.5702  0.5000  0.8595  8 Pm 3.43-3.47, 3 In 3.47-3.54, 1 Sm 3.48
In  0.4298  0.5000  0.1405  8 Pm 3.43-3.47, 3 In 3.47-3.54, 1 Sm 3.48